(1)
Computed, not measured: an optimized crystal structure of BaSrTbVO6 at the GGA+U level of DFT. Values from VASP.

Summary:
- E_tot (eV/atom) = -7.277
- total magnetization (μB/cell) = 0.00
- space group = No. 216

```
&SYSTEM
  ibrav = 0, nat = 10, ntyp = 5
/
ATOMIC_SPECIES
Ba 137.33 Ba.upf
Sr 87.62 Sr.upf
Tb 158.93 Tb.upf
V 50.94 V.upf
O 16.00 O.upf
CELL_PARAMETERS angstrom
0.0000 4.1530 4.1530
4.1530 0.0000 4.1530
4.1530 4.1530 0.0000
ATOMIC_POSITIONS angstrom
Ba 0.0000 0.0000 0.0000
Sr 4.1530 4.1530 4.1530
Tb 2.0765 2.0765 2.0765
V 6.2295 6.2295 6.2295
O 6.2295 6.2295 4.3175
O 6.2295 4.3175 6.2295
O 8.1415 6.2295 6.2295
O 4.3175 6.2295 6.2295
O 6.2295 8.1415 6.2295
O 6.2295 6.2295 8.1415
```


(2)
Computed, not measured: an optimized crystal structure of BaSrTbWO6 at the GGA+U level of DFT. Values from VASP.

Summary:
- E_tot (eV/atom) = -7.280
- total magnetization (μB/cell) = 1.00
- space group = No. 216

```
&SYSTEM
  ibrav = 0, nat = 10, ntyp = 5
/
ATOMIC_SPECIES
Ba 137.33 Ba.upf
Sr 87.62 Sr.upf
Tb 158.93 Tb.upf
W 183.84 W.upf
O 16.00 O.upf
CELL_PARAMETERS angstrom
0.0000 4.2424 4.2424
4.2424 0.0000 4.2424
4.2424 4.2424 0.0000
ATOMIC_POSITIONS angstrom
Ba 0.0000 0.0000 0.0000
Sr 4.2424 4.2424 4.2424
Tb 2.1212 2.1212 2.1212
W 6.3636 6.3636 6.3636
O 6.3636 6.3636 4.3639
O 6.3636 4.3639 6.3636
O 8.3632 6.3636 6.3636
O 4.3639 6.3636 6.3636
O 6.3636 8.3632 6.3636
O 6.3636 6.3636 8.3632
```